one.
## La5Tb2Sm12 (PBE)

Data for a relaxed La5Tb2Sm12 crystal.

Lattice parameters (Å, degrees): 18.1817 11.8818 6.2721 90.00 102.97 90.00
Space group C2/m (No. 12)
Asymmetric unit:
La  0.0000  0.0000  0.0000
La  0.1744  0.5000  0.3534
La  0.2139  0.0000  0.0525
Tb  0.0000  0.2264  0.5000
Sm  0.0513  0.5000  0.7748
Sm  0.1019  0.2555  0.1174
Sm  0.1215  0.0000  0.4954
Sm  0.1976  0.2533  0.6997

Computed properties:
total magnetization = 0.0 Bohr magnetons per cell
theoretical density = 7.08 Mg/m³


two.
## La5Tb2Sm12 (PBE)

Data for a relaxed La5Tb2Sm12 crystal.

Lattice parameters (Å, degrees): 18.7166 8.3477 9.1938 90.00 109.83 90.00
Space group C2/m (No. 12)
Asymmetric unit:
La  0.0000  0.0000  0.0000
La  0.1966  0.5000  0.6802
La  0.2424  0.0000  0.7138
Tb  0.0000  0.3256  0.5000
Sm  0.0069  0.5000  0.1720
Sm  0.0517  0.0000  0.6714
Sm  0.1334  0.2009  0.3483
Sm  0.1547  0.2294  0.9667

Computed properties:
total magnetization = 0.0 Bohr magnetons per cell
theoretical density = 6.92 Mg/m³


Computed energies relative to the best structure, in meV per atom: one 0; two 94


one.
## LaTbSm2 (PBE)

Data for a relaxed LaTbSm2 crystal.

Lattice parameters (Å, degrees): 3.6559 5.1584 7.2555 90.00 90.00 90.00
Space group Pmmm (No. 47)
Asymmetric unit:
La  0.0000  0.0000  0.0000
Tb  0.0000  0.0000  0.5000
Sm  0.5000  0.5000  0.2552

Computed properties:
total magnetization = 0.0 Bohr magnetons per cell
theoretical density = 7.26 Mg/m³


two.
## LaTbSm2 (PBE)

Data for a relaxed LaTbSm2 crystal.

Lattice parameters (Å, degrees): 4.2945 4.2945 7.4343 90.00 90.00 90.00
Space group P4/mmm (No. 123)
Asymmetric unit:
La  0.0000  0.0000  0.0000
Tb  0.0000  0.0000  0.5000
Sm  0.5000  0.5000  0.2582

Computed properties:
total magnetization = 0.0 Bohr magnetons per cell
theoretical density = 7.25 Mg/m³


Computed energies relative to the best structure, in meV per atom: one 0; two 100